[1]
Crystalline Ag3BOs at its relaxed geometry, computed with PBE.

Its offset from the most stable computed form is 0 meV per atom. The formation energy is 1.209 eV per atom.

It has space group Pm-3m (No. 221), with a = 4.293 Å, b = 4.293 Å, c = 4.293 Å, α = 90.00°, β = 90.00° and γ = 90.00°. Symmetry generates all atoms from Ag at (0.000, 0.000, 0.500), B at (0.000, 0.000, 0.000) and Os at (0.500, 0.500, 0.500).


[2]
Crystalline AgB3Os at its relaxed geometry, computed with PBE.

Its offset from the most stable computed form is 1687 meV per atom. The formation energy is 2.603 eV per atom.

It has space group Pm-3m (No. 221), with a = 4.044 Å, b = 4.044 Å, c = 4.044 Å, α = 90.00°, β = 90.00° and γ = 90.00°. Symmetry generates all atoms from Ag at (0.000, 0.000, 0.000), B at (0.000, 0.000, 0.500) and Os at (0.500, 0.500, 0.500).


[3]
Crystalline AgB2Os4 at its relaxed geometry, computed with PBE.

The formation energy is 2.289 eV per atom.

It has space group I4/mmm (No. 139), with a = 4.667 Å, b = 4.667 Å, c = 10.807 Å, α = 90.00°, β = 90.00° and γ = 90.00°. Symmetry generates all atoms from Ag at (0.000, 0.000, 0.000), B at (0.000, 0.000, 0.426), Os at (0.000, 0.000, 0.247) and Os at (0.000, 0.500, 0.000).


Question: Number 3 is which compound?
Answer: AgB2Os4